No. 1
DFT (PBE) results for a geometry-optimized Pm4IrPt structure.

a b c (Å): 7.0173 7.0169 8.6277
angles (deg): 66.04 66.00 90.00
Closest atoms and distances in Å follow each position.
Fractional positions:
1 Pm 0.3503 0.9012 0.2512  1 Ir 2.84, 2 Pt 3.05-3.07
2 Pm 0.6015 0.5988 0.7488  1 Ir 2.84, 2 Pt 3.05-3.07
3 Pm 0.6497 0.0988 0.7488  1 Ir 2.84, 2 Pt 3.05-3.07
4 Pm 0.3985 0.4012 0.2512  1 Ir 2.84, 2 Pt 3.05-3.07
5 Pm 0.8498 0.8528 0.2522  1 Ir 2.86, 2 Pt 3.05-3.07
6 Pm 0.1020 0.6472 0.7478  1 Ir 2.86, 2 Pt 3.05-3.07
7 Pm 0.1502 0.1472 0.7478  1 Ir 2.86, 2 Pt 3.05-3.07
8 Pm 0.8980 0.3528 0.2522  1 Ir 2.86, 2 Pt 3.05-3.07
9 Ir 0.0000 0.0000 0.5000  4 Pm 2.84-2.86
10 Ir 0.5000 0.5000 0.5000  4 Pm 2.84-2.86
11 Pt 0.2497 0.7500 0.0000  8 Pm 3.05-3.07
12 Pt 0.7503 0.2500 0.0000  8 Pm 3.05-3.07

Computed properties:
Total energy: -0.23173 Ha/atom
Offset from the most stable computed form: 0.00 kcal/mol of atoms
Energy of formation from the pure elements: -379 kJ/mol of formula units
Volume: 29.0 Å³ per atom

No. 2
DFT (PBE) results for a geometry-optimized BaH2O structure.

a b c (Å): 4.1637 4.1637 4.1637
angles (deg): 60.00 60.00 60.00
Closest atoms and distances in Å follow each position.
Fractional positions:
1 H 0.2500 0.2500 0.2500  4 Ba 2.55, 4 O 2.55
2 H 0.7500 0.7500 0.7500  4 O 2.55, 4 Ba 2.55
3 Ba 0.5000 0.5000 0.5000  8 H 2.55
4 O 0.0000 0.0000 0.0000  8 H 2.55

Computed properties:
Total energy: -0.13192 Ha/atom
Offset from the most stable computed form: 26.02 kcal/mol of atoms
Volume: 12.8 Å³ per atom

No. 3
DFT (PBE) results for a geometry-optimized LiP2Pb structure.

a b c (Å): 3.2296 3.2296 7.4882
angles (deg): 90.00 90.00 89.66
Closest atoms and distances in Å follow each position.
Fractional positions:
1 Li 0.5000 0.5000 0.8098  3 P 2.53-2.83
2 P 0.0000 0.0000 0.0333  4 P 2.43-2.44
3 P 0.5000 0.5000 0.1472  4 P 2.43-2.44, 1 Li 2.53
4 Pb 0.0000 0.0000 0.5098  4 Li 3.20-3.21, 4 Pb 3.23, 5 P 3.54-3.57

Computed properties:
Total energy: -0.15036 Ha/atom
Energy of formation from the pure elements: 7 kJ/mol of formula units
Volume: 19.5 Å³ per atom